# 1
Here is crystalline MgAlMo3 at its relaxed geometry from Alexandria via LeMat-Bulk. Energies are from GGA-PBEsol.

## Properties
Crystal system: cubic
V (Å³/cell): 91.9
Magnetization (μB per formula unit): 0.7
Energy of formation (eV per atom): 2.100
D(E_F) (states/eV/atom): 1.5721
E (eV per atom): -6.123

abc: 4.512 4.512 4.512
angles: 90.00 90.00 90.00
Space group Pm-3m (No. 221)
Symmetry-distinct sites (fractional):
1 Mg 0.000 0.000 0.000
2 Al 0.500 0.500 0.500
3 Mo 0.000 0.000 0.500

=====

# 2
Here is crystalline Mg2Al3MoS8 at its relaxed geometry from Alexandria via LeMat-Bulk. Energies are from GGA-PBEsol.

## Properties
Crystal system: trigonal
V (Å³/cell): 798.1
Magnetization (μB per formula unit): 3.0
Formation energy from raw total energies (meV per atom): -1070
E (eV per atom): -5.537

abc: 7.1728 7.1728 17.9126
angles: 90.00 90.00 120.00
Space group R-3m (No. 166, hexagonal axes)
Symmetry-distinct sites (fractional):
1 Mg 0.0000 0.0000 0.1267
2 Al 0.0000 0.5000 0.0000
3 Mo 0.0000 0.0000 0.5000
4 S 0.0000 0.0000 0.2622
5 S 0.0301 0.5151 0.2559

=====

# 3
Here is crystalline MgAlMoSe2 at its relaxed geometry from Alexandria via LeMat-Bulk. Energies are from GGA-PBEsol.

## Properties
Crystal system: tetragonal
V (Å³/cell): 120.4
Magnetization (μB per formula unit): 0.0
Formation energy from raw total energies (meV per atom): 301
D(E_F) (states/eV/atom): 0.4319
E (eV per atom): -4.754

abc: 4.823 4.823 5.176
angles: 90.00 90.00 90.00
Space group P4/mmm (No. 123)
Symmetry-distinct sites (fractional):
1 Mg 0.000 0.000 0.000
2 Al 0.500 0.500 0.000
3 Mo 0.000 0.000 0.500
4 Se 0.000 0.500 0.500

=====

# 4
Here is crystalline Rb2MgAlN at its relaxed geometry from Alexandria via LeMat-Bulk. Energies are from GGA-PBEsol.

## Properties
Crystal system: tetragonal
V (Å³/cell): 185.1
Magnetization (μB per formula unit): 0.0
Formation energy from raw total energies (meV per atom): 236
D(E_F) (states/eV/atom): 0.5251
E (eV per atom): -3.041

abc: 7.265 7.265 3.506
angles: 90.00 90.00 90.00
Space group P4/mmm (No. 123)
Symmetry-distinct sites (fractional):
1 Rb 0.000 0.500 0.000
2 Mg 0.000 0.000 0.500
3 Al 0.500 0.500 0.000
4 N 0.500 0.500 0.500

=====

# 5
Here is crystalline MgAlSN2 at its relaxed geometry from Alexandria via LeMat-Bulk. Energies are from GGA-PBEsol.

## Properties
Crystal system: tetragonal
V (Å³/cell): 74.6
Magnetization (μB per formula unit): 2.4
Formation energy from raw total energies (meV per atom): 1081
D(E_F) (states/eV/atom): 0.5291
E (eV per atom): -4.369

abc: 3.860 3.860 5.010
angles: 90.00 90.00 90.00
Space group P4/mmm (No. 123)
Symmetry-distinct sites (fractional):
1 Mg 0.000 0.000 0.000
2 Al 0.500 0.500 0.500
3 S 0.000 0.000 0.500
4 N 0.000 0.500 0.000

=====

# 6
Here is crystalline MgAlSeN2 at its relaxed geometry from Alexandria via LeMat-Bulk. Energies are from GGA-PBEsol.

## Properties
Crystal system: tetragonal
V (Å³/cell): 81.7
Magnetization (μB per formula unit): 2.8
Formation energy from raw total energies (meV per atom): 1089
D(E_F) (states/eV/atom): 0.6343
E (eV per atom): -4.254

abc: 3.925 3.925 5.303
angles: 90.00 90.00 90.00
Space group P4/mmm (No. 123)
Symmetry-distinct sites (fractional):
1 Mg 0.000 0.000 0.000
2 Al 0.500 0.500 0.500
3 Se 0.000 0.000 0.500
4 N 0.000 0.500 0.000

=====

# 7
Here is crystalline MgAl2ZnN at its relaxed geometry from Alexandria via LeMat-Bulk. Energies are from GGA-PBEsol.

## Properties
Crystal system: tetragonal
V (Å³/cell): 102.4
Magnetization (μB per formula unit): 0.0
Formation energy from raw total energies (meV per atom): 1003
D(E_F) (states/eV/atom): 0.3880
E (eV per atom): -2.999

abc: 5.252 5.252 3.713
angles: 90.00 90.00 90.00
Space group P4/mmm (No. 123)
Symmetry-distinct sites (fractional):
1 Mg 0.000 0.000 0.000
2 Al 0.000 0.500 0.000
3 Zn 0.500 0.500 0.500
4 N 0.000 0.000 0.500

=====

# 8
Here is crystalline NaMg16Al12 at its relaxed geometry from Alexandria via LeMat-Bulk. Energies are from GGA-PBEsol.

## Properties
Crystal system: monoclinic
V (Å³/cell): 1154.8
Magnetization (μB per formula unit): 0.0
Energy above the most stable polymorph in this dataset (eV per formula unit): 0.27
Energy of formation (eV per atom): 0.000
D(E_F) (states/eV/atom): 0.3960
E (eV per atom): -2.689

abc: 10.510 14.774 9.106
angles: 90.00 125.24 90.00
Space group Cm (No. 8)
Symmetry-distinct sites (fractional):
1 Na 0.000 0.000 0.000
2 Mg 0.055 0.144 0.281
3 Mg 0.080 0.200 0.963
4 Mg 0.096 0.500 0.624
5 Mg 0.097 0.500 0.280
6 Mg 0.151 0.157 0.678
7 Mg 0.252 0.342 0.881
8 Mg 0.256 0.000 0.938
9 Mg 0.268 0.327 0.279
10 Mg 0.280 0.000 0.565
11 Mg 0.396 0.199 0.596
12 Al 0.001 0.407 0.912
13 Al 0.096 0.316 0.464
14 Al 0.275 0.500 0.098
15 Al 0.323 0.092 0.284
16 Al 0.367 0.406 0.641
17 Al 0.411 0.184 0.094
18 Al 0.462 0.500 0.458

=====

# 9
Here is crystalline NaMg16Al12 at its relaxed geometry from Alexandria via LeMat-Bulk. Energies are from GGA-PBEsol.

## Properties
Crystal system: cubic
V (Å³/cell): 1153.7
Magnetization (μB per formula unit): 0.0
Energy above the most stable polymorph in this dataset (eV per formula unit): 0.00
Energy of formation (eV per atom): -0.009
D(E_F) (states/eV/atom): 0.3817
E (eV per atom): -2.698

abc: 10.488 10.488 10.488
angles: 90.00 90.00 90.00
Space group I-43m (No. 217)
Symmetry-distinct sites (fractional):
1 Na 0.000 0.000 0.000
2 Mg 0.042 0.358 0.642
3 Mg 0.173 0.173 0.173
4 Al 0.091 0.091 0.722

=====

# 10
Here is crystalline NaMg30AlO32 at its relaxed geometry from Alexandria via LeMat-Bulk. Energies are from GGA-PBEsol.

## Properties
Crystal system: tetragonal
V (Å³/cell): 600.9
Magnetization (μB per formula unit): 0.0
Formation energy from raw total energies (meV per atom): -2725
D(E_F) (states/eV/atom): 0.0000
E (eV per atom): -6.240

abc: 8.442 8.442 8.432
angles: 90.00 90.00 90.00
Space group P4/mmm (No. 123)
Symmetry-distinct sites (fractional):
1 Na 0.000 0.000 0.000
2 Mg 0.000 0.250 0.247
3 Mg 0.000 0.500 0.000
4 Mg 0.000 0.500 0.500
5 Mg 0.249 0.249 0.000
6 Mg 0.250 0.250 0.500
7 Mg 0.250 0.500 0.249
8 Mg 0.500 0.500 0.000
9 Mg 0.500 0.500 0.500
10 Al 0.000 0.000 0.500
11 O 0.000 0.000 0.276
12 O 0.000 0.238 0.500
13 O 0.000 0.261 0.000
14 O 0.000 0.500 0.255
15 O 0.248 0.500 0.500
16 O 0.250 0.250 0.251
17 O 0.252 0.500 0.000
18 O 0.500 0.500 0.252

=====

# 11
Here is crystalline NaMg14AlO16 at its relaxed geometry from Alexandria via LeMat-Bulk. Energies are from GGA-PBEsol.

## Properties
Crystal system: orthorhombic
V (Å³/cell): 301.0
Magnetization (μB per formula unit): 0.0
Energy above the most stable polymorph in this dataset (eV per formula unit): 0.00
Formation energy from raw total energies (meV per atom): -2693
D(E_F) (states/eV/atom): 0.0000
E (eV per atom): -6.240

abc: 4.231 8.424 8.445
angles: 90.00 90.00 90.00
Space group Pmmm (No. 47)
Symmetry-distinct sites (fractional):
1 Na 0.000 0.000 0.000
2 Mg 0.000 0.000 0.500
3 Mg 0.000 0.246 0.250
4 Mg 0.000 0.500 0.500
5 Mg 0.500 0.000 0.247
6 Mg 0.500 0.245 0.000
7 Mg 0.500 0.248 0.500
8 Mg 0.500 0.500 0.250
9 Al 0.000 0.500 0.000
10 O 0.000 0.000 0.263
11 O 0.000 0.257 0.500
12 O 0.000 0.280 0.000
13 O 0.000 0.500 0.235
14 O 0.500 0.000 0.000
15 O 0.500 0.000 0.500
16 O 0.500 0.252 0.249
17 O 0.500 0.500 0.000
18 O 0.500 0.500 0.500

=====

# 12
Here is crystalline NaMg14AlO16 at its relaxed geometry from Alexandria via LeMat-Bulk. Energies are from GGA-PBEsol.

## Properties
Crystal system: tetragonal
V (Å³/cell): 301.5
Magnetization (μB per formula unit): 0.0
Energy above the most stable polymorph in this dataset (eV per formula unit): 0.40
Formation energy from raw total energies (meV per atom): -2680
D(E_F) (states/eV/atom): 0.0000
E (eV per atom): -6.228

abc: 8.442 8.442 4.230
angles: 90.00 90.00 90.00
Space group P4/mmm (No. 123)
Symmetry-distinct sites (fractional):
1 Na 0.000 0.000 0.000
2 Mg 0.000 0.245 0.500
3 Mg 0.000 0.500 0.000
4 Mg 0.246 0.246 0.000
5 Mg 0.248 0.500 0.500
6 Al 0.500 0.500 0.000
7 O 0.000 0.000 0.500
8 O 0.000 0.267 0.000
9 O 0.000 0.500 0.500
10 O 0.252 0.252 0.500
11 O 0.272 0.500 0.000
12 O 0.500 0.500 0.500

=====

Which value of V does entry 10 give? 600.9 Å³/cell

=====

What is the E in the eleventh record? -6.240 eV per atom